<one>
# HoGaSb, optimized geometry, DFT GGA-PBE
# * space-group type: No. 107
data_HoGaSb
_chemical_formula_sum 'Ho1 Ga1 Sb1'
_cell_length_a 3.759
_cell_length_b 3.759
_cell_length_c 5.745
_cell_angle_alpha 109.10
_cell_angle_beta 109.10
_cell_angle_gamma 90.00
_symmetry_space_group_name_H-M 'P 1'
_symmetry_Int_Tables_number 1
loop_
_symmetry_equiv_pos_as_xyz
'x,y,z'
loop_
_atom_site_label
_atom_site_type_symbol
_atom_site_fract_x
_atom_site_fract_y
_atom_site_fract_z
Sb1 Sb 0.302 0.302 0.603
Ho1 Ho 0.616 0.616 0.232
Ga1 Ga 0.933 0.933 0.865

---

<two>
# HoGaSb, optimized geometry, DFT GGA-PBE
# * space-group type: No. 156
data_HoGaSb
_chemical_formula_sum 'Ho1 Ga1 Sb1'
_cell_length_a 3.881
_cell_length_b 4.719
_cell_length_c 4.719
_cell_angle_alpha 120.00
_cell_angle_beta 90.00
_cell_angle_gamma 90.00
_symmetry_space_group_name_H-M 'P 1'
_symmetry_Int_Tables_number 1
loop_
_symmetry_equiv_pos_as_xyz
'x,y,z'
loop_
_atom_site_label
_atom_site_type_symbol
_atom_site_fract_x
_atom_site_fract_y
_atom_site_fract_z
Sb1 Sb 0.227 0.333 0.667
Ho1 Ho 0.689 0.667 0.333
Ga1 Ga 0.084 0.000 0.000

---

Most stable one: <one>, least stable one: <two>.

---

<one>
# Ho2GaSb, optimized geometry, DFT GGA-PBE
# * space-group type: No. 166
data_Ho2GaSb
_chemical_formula_sum 'Ho2 Ga1 Sb1'
_cell_length_a 4.130
_cell_length_b 4.130
_cell_length_c 7.842
_cell_angle_alpha 74.73
_cell_angle_beta 74.73
_cell_angle_gamma 60.00
_symmetry_space_group_name_H-M 'P 1'
_symmetry_Int_Tables_number 1
loop_
_symmetry_equiv_pos_as_xyz
'x,y,z'
loop_
_atom_site_label
_atom_site_type_symbol
_atom_site_fract_x
_atom_site_fract_y
_atom_site_fract_z
Sb1 Sb 0.500 0.500 0.500
Ho1 Ho 0.250 0.250 0.251
Ho2 Ho 0.750 0.750 0.749
Ga1 Ga 0.000 0.000 0.000

---

<two>
# Ho2GaSb, optimized geometry, DFT GGA-PBE
# * space-group type: No. 63
data_Ho2GaSb
_chemical_formula_sum 'Ho4 Ga2 Sb2'
_cell_length_a 4.222
_cell_length_b 4.377
_cell_length_c 11.796
_cell_angle_alpha 100.69
_cell_angle_beta 90.00
_cell_angle_gamma 90.00
_symmetry_space_group_name_H-M 'P 1'
_symmetry_Int_Tables_number 1
loop_
_symmetry_equiv_pos_as_xyz
'x,y,z'
loop_
_atom_site_label
_atom_site_type_symbol
_atom_site_fract_x
_atom_site_fract_y
_atom_site_fract_z
Ho1 Ho 0.750 0.677 0.354
Ho2 Ho 0.250 0.323 0.646
Ho3 Ho 0.750 0.940 0.880
Ho4 Ho 0.250 0.060 0.120
Ga1 Ga 0.250 0.464 0.927
Ga2 Ga 0.750 0.536 0.073
Sb1 Sb 0.250 0.190 0.379
Sb2 Sb 0.750 0.810 0.621

---

Most stable one: <two>, least stable one: <one>.

---

<one>
# HoSc2Ga, optimized geometry, DFT GGA-PBE
# * space-group type: No. 123
data_HoSc2Ga
_chemical_formula_sum 'Ho1 Sc2 Ga1'
_cell_length_a 4.519
_cell_length_b 4.481
_cell_length_c 4.481
_cell_angle_alpha 90.00
_cell_angle_beta 90.00
_cell_angle_gamma 90.00
_symmetry_space_group_name_H-M 'P 1'
_symmetry_Int_Tables_number 1
loop_
_symmetry_equiv_pos_as_xyz
'x,y,z'
loop_
_atom_site_label
_atom_site_type_symbol
_atom_site_fract_x
_atom_site_fract_y
_atom_site_fract_z
Sc1 Sc 0.000 0.000 0.500
Sc2 Sc 0.000 0.500 0.000
Ho1 Ho 0.500 0.500 0.500
Ga1 Ga 0.500 0.000 0.000

---

<two>
# HoSc2Ga, optimized geometry, DFT GGA-PBE
# * space-group type: No. 160
data_HoSc2Ga
_chemical_formula_sum 'Ho1 Sc2 Ga1'
_cell_length_a 4.670
_cell_length_b 4.670
_cell_length_c 5.987
_cell_angle_alpha 67.05
_cell_angle_beta 67.05
_cell_angle_gamma 60.00
_symmetry_space_group_name_H-M 'P 1'
_symmetry_Int_Tables_number 1
loop_
_symmetry_equiv_pos_as_xyz
'x,y,z'
loop_
_atom_site_label
_atom_site_type_symbol
_atom_site_fract_x
_atom_site_fract_y
_atom_site_fract_z
Ho1 Ho 0.489 0.489 0.533
Sc1 Sc 0.041 0.041 0.877
Sc2 Sc 0.277 0.277 0.169
Ga1 Ga 0.693 0.693 0.920

---

Most stable one: <one>, least stable one: <two>.